No. 1
# Ca3InO, relaxed, DFT GGA-PBE
data_Ca3InO
_chemical_formula_sum 'Ca6 In2 O2'
_cell_length_a 4.0266
_cell_length_b 4.0266
_cell_length_c 19.5283
_cell_angle_alpha 90.00
_cell_angle_beta 90.00
_cell_angle_gamma 120.00
_symmetry_space_group_name_H-M 'P 63/m m c'
_symmetry_Int_Tables_number 194
_symmetry_space_group_name_Hall '-P 6c 2c'
loop_
_atom_site_label
_atom_site_type_symbol
_atom_site_fract_x
_atom_site_fract_y
_atom_site_fract_z
Ca1 Ca 0.0000 0.0000 0.2500
Ca2 Ca 0.3333 0.6667 0.1194
In1 In 0.0000 0.0000 0.0000
O1 O 0.3333 0.6667 0.2500
# Magnetic moment (μB per formula unit): 0.00
# Calculated total energy (eV/atom): -3.867
# Raw formation energy (eV/atom): -1.1264
# Theoretical density (g/cm³): 3.04

No. 2
# CaInO, relaxed, DFT GGA-PBE
data_CaInO
_chemical_formula_sum 'Ca6 In6 O6'
_cell_length_a 3.8929
_cell_length_b 3.8929
_cell_length_c 30.6803
_cell_angle_alpha 90.00
_cell_angle_beta 90.00
_cell_angle_gamma 120.00
_symmetry_space_group_name_H-M 'R -3 m'
_symmetry_Int_Tables_number 166
_symmetry_space_group_name_Hall '-R 3 2"'
loop_
_atom_site_label
_atom_site_type_symbol
_atom_site_fract_x
_atom_site_fract_y
_atom_site_fract_z
Ca1 Ca 0.0000 0.0000 0.1264
In1 In 0.0000 0.0000 0.2963
O1 O 0.0000 0.0000 0.2038
# Magnetic moment (μB per formula unit): 0.00
# Calculated total energy (eV/atom): -4.935
# Raw formation energy (eV/atom): -1.7019
# Theoretical density (g/cm³): 4.23

No. 3
# Ca3InO, relaxed, DFT GGA-PBE
data_Ca3InO
_chemical_formula_sum 'Ca6 In2 O2'
_cell_length_a 5.632
_cell_length_b 6.960
_cell_length_c 6.917
_cell_angle_alpha 90.00
_cell_angle_beta 90.88
_cell_angle_gamma 90.00
_symmetry_space_group_name_H-M 'P 1 21/m 1'
_symmetry_Int_Tables_number 11
_symmetry_space_group_name_Hall '-P 2yb'
loop_
_atom_site_label
_atom_site_type_symbol
_atom_site_fract_x
_atom_site_fract_y
_atom_site_fract_z
Ca1 Ca 0.000 0.000 0.000
Ca2 Ca 0.035 0.250 0.484
Ca3 Ca 0.454 0.750 0.234
In1 In 0.474 0.750 0.756
O1 O 0.057 0.750 0.212
# Magnetic moment (μB per formula unit): 0.00
# Calculated total energy (eV/atom): -3.990
# Raw formation energy (eV/atom): -1.2502
# Theoretical density (g/cm³): 3.08

No. 4
# CaInO2, relaxed, DFT GGA-PBE
data_CaInO2
_chemical_formula_sum 'Ca2 In2 O4'
_cell_length_a 5.842
_cell_length_b 6.097
_cell_length_c 3.372
_cell_angle_alpha 90.00
_cell_angle_beta 90.00
_cell_angle_gamma 90.00
_symmetry_space_group_name_H-M 'P n n m'
_symmetry_Int_Tables_number 58
_symmetry_space_group_name_Hall '-P 2 2n'
loop_
_atom_site_label
_atom_site_type_symbol
_atom_site_fract_x
_atom_site_fract_y
_atom_site_fract_z
Ca1 Ca 0.000 0.000 0.000
In1 In 0.000 0.500 0.000
O1 O 0.181 0.232 0.500
# Magnetic moment (μB per formula unit): 0.00
# Calculated total energy (eV/atom): -5.455
# Raw formation energy (eV/atom): -1.7910
# Theoretical density (g/cm³): 5.17